No. 1
DFT (PBE) results for a geometry-optimized In2TcRu structure.

```
data_In2TcRu
_space_group_name_H-M_alt 'I m m m'
_space_group_IT_number 71
_space_group_name_Hall '-I 2 2'
_cell_length_a 3.1275
_cell_length_b 5.0349
_cell_length_c 9.0584
_cell_angle_alpha 90.00
_cell_angle_beta 90.00
_cell_angle_gamma 90.00
loop_
_atom_site_label
_atom_site_fract_x
_atom_site_fract_y
_atom_site_fract_z
In1 0.0000 0.0000 0.2455
Tc1 0.0000 0.5000 0.0000
Ru1 0.0000 0.5000 0.5000
```

Values from the calculation:
Total magnetization = 1.19 μB per formula unit
Polymorph energy (0 for the lowest one) = 382 meV/atom
Uncorrected energy = -0.4299 Ry/atom
E_form = 166 kJ/mol of formula units

No. 2
DFT (PBE) results for a geometry-optimized In4TcRu structure.

```
data_In4TcRu
_space_group_name_H-M_alt 'F -4 3 m'
_space_group_IT_number 216
_space_group_name_Hall 'F -4 2 3'
_cell_length_a 7.9238
_cell_length_b 7.9238
_cell_length_c 7.9238
_cell_angle_alpha 90.00
_cell_angle_beta 90.00
_cell_angle_gamma 90.00
loop_
_atom_site_label
_atom_site_fract_x
_atom_site_fract_y
_atom_site_fract_z
In1 0.1250 0.1250 0.1250
Tc1 0.0000 0.0000 0.5000
Ru1 0.2500 0.2500 0.7500
```

Values from the calculation:
Total magnetization = 3.47 μB per formula unit
Uncorrected energy = -0.3034 Ry/atom
E_form = 563 kJ/mol of formula units

No. 3
DFT (PBE) results for a geometry-optimized InTcRu2 structure.

```
data_InTcRu2
_space_group_name_H-M_alt 'F -4 3 m'
_space_group_IT_number 216
_space_group_name_Hall 'F -4 2 3'
_cell_length_a 6.3226
_cell_length_b 6.3226
_cell_length_c 6.3226
_cell_angle_alpha 90.00
_cell_angle_beta 90.00
_cell_angle_gamma 90.00
loop_
_atom_site_label
_atom_site_fract_x
_atom_site_fract_y
_atom_site_fract_z
In1 0.0000 0.0000 0.0000
Tc1 0.2500 0.2500 0.7500
Ru1 0.0000 0.0000 0.5000
Ru2 0.2500 0.2500 0.2500
```

Values from the calculation:
Total magnetization = 1.92 μB per formula unit
Uncorrected energy = -0.5527 Ry/atom
E_form = 152 kJ/mol of formula units

No. 4
DFT (PBE) results for a geometry-optimized InTcRu2 structure.

```
data_InTcRu2
_space_group_name_H-M_alt 'P 1 m 1'
_space_group_IT_number 6
_cell_length_a 2.8220
_cell_length_b 3.9668
_cell_length_c 5.6154
_cell_angle_alpha 90.00
_cell_angle_beta 90.01
_cell_angle_gamma 90.00
loop_
_space_group_symop_operation_xyz
'x,y,z'
'x,-y,z'
loop_
_atom_site_label
_atom_site_fract_x
_atom_site_fract_y
_atom_site_fract_z
In1 0.0000 0.0000 0.0000
Tc1 0.5044 0.5000 0.2943
Ru1 0.4967 0.5000 0.7462
Ru2 0.9971 0.0000 0.4960
```

Values from the calculation:
Total magnetization = 0.00 μB per formula unit
Uncorrected energy = -0.5636 Ry/atom
E_form = 95 kJ/mol of formula units